Record 1
Material: Sr2SmDyS4
Method: DFT, PBE
State: relaxed

a b c (Å): 7.040 4.067 7.206
angles (deg): 90.00 109.02 90.00
Positions (direct):
Sr 0.000 0.000 0.000
Sr 0.500 0.500 0.000
Sm 0.000 0.500 0.500
Dy 0.500 0.000 0.500
S 0.250 0.000 0.734
S 0.261 0.500 0.269
S 0.739 0.500 0.731
S 0.750 0.000 0.266

For the total energy, the calculation gives -5.691 eV per atom. As for the space group: P2/m. Its volume is 195.06 Å³/cell.


Record 2
Material: Dy2PtI
Method: DFT, PBE
State: relaxed

a b c (Å): 8.240 8.240 8.240
angles (deg): 29.18 29.18 29.18
Positions (direct):
Dy 0.228 0.228 0.228
Dy 0.772 0.772 0.772
Pt 0.500 0.500 0.500
I 0.000 0.000 0.000

As for the space group: R-3m. Its volume is 117.66 Å³/cell. As for the polymorph energy (0 for the lowest one): 0.0 meV per atom.